Entry 1:
Li3Pr2B3O9 | SCAN | PBEsol geometry

abc: 5.754 14.148 9.340
angles: 90.00 113.02 90.00
Fractional coordinates of all 68 atoms:
Li 0.050 0.112 0.208
Li 0.050 0.388 0.708
Li 0.416 0.215 0.209
Li 0.416 0.285 0.709
Li 0.423 0.666 0.495
Li 0.423 0.834 0.995
Li 0.577 0.166 0.005
Li 0.577 0.334 0.505
Li 0.584 0.715 0.291
Li 0.584 0.785 0.791
Li 0.950 0.612 0.292
Li 0.950 0.888 0.792
Pr 0.058 0.664 0.692
Pr 0.058 0.836 0.192
Pr 0.347 0.002 0.660
Pr 0.347 0.498 0.160
Pr 0.653 0.502 0.840
Pr 0.653 0.998 0.340
Pr 0.942 0.164 0.808
Pr 0.942 0.336 0.308
B 0.114 0.677 0.018
B 0.114 0.823 0.518
B 0.263 0.015 0.013
B 0.263 0.485 0.513
B 0.384 0.163 0.472
B 0.384 0.337 0.972
B 0.616 0.663 0.028
B 0.616 0.837 0.528
B 0.737 0.515 0.487
B 0.737 0.985 0.987
B 0.886 0.177 0.482
B 0.886 0.323 0.982
O 0.045 0.594 0.931
O 0.045 0.906 0.431
O 0.091 0.737 0.444
O 0.091 0.763 0.944
O 0.154 0.007 0.853
O 0.154 0.493 0.353
O 0.213 0.670 0.179
O 0.213 0.830 0.679
O 0.310 0.103 0.082
O 0.310 0.397 0.582
O 0.321 0.243 0.380
O 0.321 0.257 0.880
O 0.324 0.566 0.605
O 0.324 0.934 0.105
O 0.332 0.074 0.406
O 0.332 0.426 0.906
O 0.494 0.168 0.633
O 0.494 0.332 0.133
O 0.506 0.668 0.867
O 0.506 0.832 0.367
O 0.668 0.574 0.094
O 0.668 0.926 0.594
O 0.676 0.066 0.895
O 0.676 0.434 0.395
O 0.679 0.743 0.120
O 0.679 0.757 0.620
O 0.690 0.603 0.418
O 0.690 0.897 0.918
O 0.787 0.170 0.321
O 0.787 0.330 0.821
O 0.846 0.507 0.647
O 0.846 0.993 0.147
O 0.909 0.237 0.056
O 0.909 0.263 0.556
O 0.955 0.094 0.569
O 0.955 0.406 0.069

Output
E_tot ... -890.87 eV/cell
Spin magnetization ... 0.0 Bohr magnetons per cell
Formation energy from raw total energies ... -287 kJ per mole of atoms

---

Entry 2:
Rb2Li5B7O14 | SCAN | PBEsol geometry

abc: 20.558 7.072 7.072
angles: 143.71 90.00 90.00
Fractional coordinates of all 56 atoms:
Rb 0.156 0.189 0.811
Rb 0.344 0.189 0.811
Rb 0.656 0.811 0.189
Rb 0.844 0.811 0.189
Li 0.012 0.093 0.925
Li 0.063 0.497 0.530
Li 0.250 0.826 0.162
Li 0.437 0.497 0.530
Li 0.488 0.093 0.925
Li 0.512 0.925 0.093
Li 0.563 0.530 0.497
Li 0.750 0.162 0.826
Li 0.937 0.530 0.497
Li 0.988 0.925 0.093
B 0.007 0.686 0.287
B 0.126 0.912 0.059
B 0.189 0.421 0.560
B 0.250 0.593 0.408
B 0.311 0.421 0.560
B 0.374 0.912 0.059
B 0.493 0.686 0.287
B 0.507 0.287 0.686
B 0.626 0.059 0.912
B 0.689 0.560 0.421
B 0.750 0.408 0.593
B 0.811 0.560 0.421
B 0.874 0.059 0.912
B 0.993 0.287 0.686
O 0.008 0.387 0.950
O 0.020 0.692 0.475
O 0.072 0.052 0.098
O 0.133 0.578 0.780
O 0.175 0.072 0.280
O 0.191 0.539 0.458
O 0.250 0.474 0.704
O 0.250 0.698 0.312
O 0.309 0.539 0.458
O 0.325 0.072 0.280
O 0.367 0.578 0.780
O 0.428 0.052 0.098
O 0.480 0.692 0.475
O 0.492 0.387 0.950
O 0.508 0.950 0.387
O 0.520 0.475 0.692
O 0.572 0.098 0.052
O 0.633 0.780 0.578
O 0.675 0.280 0.072
O 0.691 0.458 0.539
O 0.750 0.312 0.698
O 0.750 0.704 0.474
O 0.809 0.458 0.539
O 0.825 0.280 0.072
O 0.867 0.780 0.578
O 0.928 0.098 0.052
O 0.980 0.475 0.692
O 0.992 0.950 0.387

Output
E_tot ... -529.12 eV/cell
Spin magnetization ... 0.1 Bohr magnetons per cell
Formation energy from raw total energies ... -248 kJ per mole of atoms

---

Entry 3:
RbLi2B3Sb2O9 | SCAN | PBEsol geometry

abc: 6.345 5.570 12.796
angles: 90.00 92.04 90.00
Fractional coordinates of all 34 atoms:
Rb 0.000 0.097 0.250
Rb 0.000 0.903 0.750
Li 0.478 0.110 0.143
Li 0.478 0.890 0.643
Li 0.522 0.110 0.357
Li 0.522 0.890 0.857
B 0.167 0.157 0.978
B 0.167 0.843 0.478
B 0.500 0.400 0.750
B 0.500 0.600 0.250
B 0.833 0.157 0.522
B 0.833 0.843 0.022
Sb 0.271 0.374 0.536
Sb 0.271 0.626 0.036
Sb 0.729 0.374 0.964
Sb 0.729 0.626 0.464
O 0.014 0.276 0.914
O 0.014 0.724 0.414
O 0.222 0.250 0.075
O 0.222 0.750 0.575
O 0.268 0.039 0.440
O 0.268 0.961 0.940
O 0.397 0.251 0.673
O 0.397 0.749 0.173
O 0.500 0.360 0.250
O 0.500 0.640 0.750
O 0.603 0.251 0.827
O 0.603 0.749 0.327
O 0.732 0.039 0.060
O 0.732 0.961 0.560
O 0.778 0.250 0.425
O 0.778 0.750 0.925
O 0.986 0.276 0.586
O 0.986 0.724 0.086

Output
E_tot ... -428.91 eV/cell
Spin magnetization ... 0.0 Bohr magnetons per cell
Formation energy from raw total energies ... -205 kJ per mole of atoms